No. 1
MgNpP after structural relaxation, computed with PBE-GGA.

The structure belongs to space group R-3m (No. 166, hexagonal axes); the cell edges are 3.8003, 3.8003 and 28.9948 Å and the angles 90.00°, 90.00° and 120.00°. The asymmetric unit holds Mg at (0.0000, 0.0000, 0.1251), Np at (0.0000, 0.0000, 0.3535) and P at (0.0000, 0.0000, 0.2535).

Its density is 8.03 g/cm³. The formation energy comes out at -352 meV per atom. The volume is 20.147 Å³/atom.


No. 2
Ba2Sn2Rh after structural relaxation, computed with PBE-GGA.

The structure belongs to space group P4/mbm (No. 127); the cell edges are 7.4172, 7.4172 and 5.5655 Å and the angles 90.00°, 90.00° and 90.00°. The asymmetric unit holds Ba at (0.1698, 0.3302, 0.0000), Sn at (0.1457, 0.6457, 0.5000) and Rh at (0.0000, 0.0000, 0.5000).

Its density is 6.67 g/cm³. The calculation puts the energy above the most stable polymorph in this dataset at 20.4 kJ/mol of atoms. The formation energy comes out at -375 meV per atom. The volume is 30.619 Å³/atom.


No. 3
CaNbGeTeP after structural relaxation, computed with PBE-GGA.

The structure belongs to space group Amm2 (No. 38); the cell edges are 3.7913, 3.6335 and 16.3456 Å and the angles 90.00°, 90.00° and 90.00°. The asymmetric unit holds Ca at (0.0000, 0.0000, 0.0000), Nb at (0.5000, 0.0000, 0.1961), Ge at (0.0000, 0.0000, 0.7180), Te at (0.5000, 0.0000, 0.3692) and P at (0.5000, 0.0000, 0.5842).

Its density is 5.37 g/cm³. The calculation puts the energy above the most stable polymorph in this dataset at 0.0 kJ/mol of atoms. The volume is 22.517 Å³/atom. Its energy relative to the elements, uncorrected is -606 meV/atom.


No. 4
TbHo5P6 after structural relaxation, computed with PBE-GGA.

The structure belongs to space group C2/m (No. 12); the cell edges are 6.9204, 11.9816 and 6.9182 Å and the angles 90.00°, 109.48° and 90.00°. The asymmetric unit holds Tb at (0.0000, 0.0000, 0.0000), Ho at (0.0000, 0.1664, 0.5000), Ho at (0.0000, 0.3332, 0.0000), Ho at (0.0000, 0.5000, 0.5000), P at (0.2491, 0.3327, 0.7491) and P at (0.2489, 0.5000, 0.2508).

Its density is 7.18 g/cm³. The formation energy comes out at -1615 meV per atom. The volume is 22.533 Å³/atom.


No. 5
ZrWBr after structural relaxation, computed with PBE-GGA.

The structure belongs to space group P3m1 (No. 156); the cell edges are 4.6800, 4.6800 and 2.9998 Å and the angles 90.00°, 90.00° and 120.00°. The asymmetric unit holds Zr at (0.0000, 0.0000, 0.0000), W at (0.6667, 0.3333, 0.4784) and Br at (0.3333, 0.6667, 0.4809).

Its density is 10.36 g/cm³. The calculation puts the energy above the most stable polymorph in this dataset at 13.4 kJ/mol of atoms. The volume is 18.967 Å³/atom. Its energy relative to the elements, uncorrected is 524 meV/atom.


No. 6
Zr4Cd2O after structural relaxation, computed with PBE-GGA.

The structure belongs to space group I4/mmm (No. 139); the cell edges are 4.3770, 4.3770 and 15.1627 Å and the angles 90.00°, 90.00° and 90.00°. The asymmetric unit holds Zr at (0.0000, 0.0000, 0.1629), Zr at (0.0000, 0.5000, 0.0000), Cd at (0.0000, 0.0000, 0.3582) and O at (0.0000, 0.0000, 0.0000).

Its density is 6.92 g/cm³. The calculation puts the energy above the most stable polymorph in this dataset at 0.0 kJ/mol of atoms. The volume is 20.750 Å³/atom. Its energy relative to the elements, uncorrected is -617 meV/atom.


No. 7
La5Pd3 after structural relaxation, computed with PBE-GGA.

The structure belongs to space group P4/ncc (No. 130, origin choice 2); the cell edges are 11.6730, 11.6730 and 6.7169 Å and the angles 90.00°, 90.00° and 90.00°. The asymmetric unit holds La at (0.0415, 0.1587, 0.1246), La at (0.2500, 0.7500, 0.0000), Pd at (0.0945, 0.5945, 0.7500) and Pd at (0.2500, 0.2500, 0.3824).

Its density is 7.36 g/cm³. The formation energy comes out at -611 meV per atom. The volume is 28.601 Å³/atom.


No. 8
Mg2TlCl after structural relaxation, computed with PBE-GGA.

The structure belongs to space group Pmm2 (No. 25); the cell edges are 3.5215, 4.6415 and 5.9892 Å and the angles 90.00°, 90.00° and 90.00°. The asymmetric unit holds Mg at (0.0000, 0.0000, 0.0000), Mg at (0.5000, 0.5000, 0.3869), Tl at (0.0000, 0.0000, 0.5143) and Cl at (0.5000, 0.5000, 0.9702).

Its density is 4.89 g/cm³. The calculation puts the energy above the most stable polymorph in this dataset at 6.3 kJ/mol of atoms. The volume is 24.474 Å³/atom. Its energy relative to the elements, uncorrected is -446 meV/atom.


No. 9
PmSm3Ho3 after structural relaxation, computed with PBE-GGA.

The structure belongs to space group P6_3/m (No. 176); the cell edges are 9.6267, 9.6267 and 5.7470 Å and the angles 90.00°, 90.00° and 120.00°. The asymmetric unit holds Pm at (0.3333, 0.6667, 0.2500), Sm at (0.0958, 0.6204, 0.7500) and Ho at (0.0472, 0.8129, 0.2500).

Its density is 7.85 g/cm³. The calculation puts the energy above the most stable polymorph in this dataset at 0.0 kJ/mol of atoms. The formation energy comes out at 19 meV per atom. The volume is 32.946 Å³/atom.


No. 10
Cs4Cd2P after structural relaxation, computed with PBE-GGA.

The structure belongs to space group I4/mmm (No. 139); the cell edges are 7.2583, 7.2583 and 18.0120 Å and the angles 90.00°, 90.00° and 90.00°. The asymmetric unit holds Cs at (0.0000, 0.0000, 0.1832), Cs at (0.0000, 0.5000, 0.0000), Cd at (0.0000, 0.0000, 0.4113) and P at (0.0000, 0.0000, 0.0000).

Its density is 2.76 g/cm³. The formation energy comes out at 37 meV per atom. The volume is 67.780 Å³/atom.


No. 11
SmPuZnIn after structural relaxation, computed with PBE-GGA.

The structure belongs to space group F-43m (No. 216); the cell edges are 7.4704, 7.4704 and 7.4704 Å and the angles 90.00°, 90.00° and 90.00°. The asymmetric unit holds Sm at (0.0000, 0.0000, 0.0000), Pu at (0.0000, 0.0000, 0.5000), Zn at (0.2500, 0.2500, 0.7500) and In at (0.2500, 0.2500, 0.2500).

Its density is 9.15 g/cm³. The formation energy comes out at -195 meV per atom. The volume is 26.056 Å³/atom.


No. 12
BeAl6Ni12 after structural relaxation, computed with PBE-GGA.

The structure belongs to space group R-3 (No. 148, hexagonal axes); the cell edges are 8.6950, 8.6950 and 10.2799 Å and the angles 90.00°, 90.00° and 120.00°. The asymmetric unit holds Be at (0.0000, 0.0000, 0.0000), Al at (0.0180, 0.4206, 0.7149), Ni at (0.0341, 0.1791, 0.8271) and Ni at (0.0504, 0.8526, 0.4061).

Its density is 6.48 g/cm³. The formation energy comes out at -358 meV per atom. The volume is 11.808 Å³/atom.